--- i ---
YTm2Fe | GGA-PBE | relaxed

Summary:
The magnetic moment is 0.000 μB/f.u. The space-group type is Pnma. The calculation puts the volume at 98.5 Å³/f.u.

POSCAR file:
```
YTm2Fe
1.0
6.2024 0.0000 0.0000
0.0000 7.0410 0.0000
0.0000 0.0000 9.0178
Y Tm Fe
4 8 4
Direct
0.6324 0.5464 0.2500
0.8676 0.0464 0.2500
0.3676 0.4536 0.7500
0.1324 0.9536 0.7500
0.1698 0.6741 0.0660
0.3302 0.1741 0.4340
0.8302 0.3259 0.5660
0.6698 0.8259 0.9340
0.8302 0.3259 0.9340
0.6698 0.8259 0.5660
0.1698 0.6741 0.4340
0.3302 0.1741 0.0660
0.0408 0.3893 0.2500
0.4592 0.8893 0.2500
0.9592 0.6107 0.7500
0.5408 0.1107 0.7500
```


--- ii ---
YTm2Fe | GGA-PBE | relaxed

Summary:
The magnetic moment is 0.001 μB/f.u. The space-group type is P4/mmm. The calculation puts the volume at 98.3 Å³/f.u.

POSCAR file:
```
YTm2Fe
1.0
-2.6098 2.0389 0.1611
-1.6059 -1.8810 -2.2085
-3.4157 -4.8979 6.6552
Y Tm Fe
1 2 1
Direct
0.5000 0.5000 0.5000
0.0000 0.0000 0.8230
0.0000 0.0000 0.1770
0.5000 0.5000 0.0000
```


Relative stability in meV/atom, measured from the most stable structure: i 0; ii 76


--- i ---
YTm3Fe | GGA-PBE | relaxed

Summary:
The magnetic moment is 1.440 μB/f.u. The space-group type is P2_1/m. The calculation puts the volume at 134.7 Å³/f.u.

POSCAR file:
```
YTm3Fe
1.0
-3.2149 -0.6851 -1.4310
3.4752 -7.1753 -4.3719
-4.2350 0.1103 9.4613
Y Tm Fe
2 6 2
Direct
0.7500 0.7025 0.6391
0.2500 0.2975 0.3609
0.2500 0.6121 0.2870
0.7500 0.3879 0.7130
0.2500 0.0397 0.6641
0.7500 0.2079 0.0093
0.7500 0.9603 0.3359
0.2500 0.7921 0.9907
0.7500 0.5908 0.0581
0.2500 0.4092 0.9419
```


--- ii ---
YTm3Fe | GGA-PBE | relaxed

Summary:
The magnetic moment is 0.001 μB/f.u. The space-group type is Pm-3m. The calculation puts the volume at 140.2 Å³/f.u.

POSCAR file:
```
YTm3Fe
1.0
5.1946 0.0000 0.0000
0.0000 5.1946 0.0000
0.0000 0.0000 5.1946
Y Tm Fe
1 3 1
Direct
0.5000 0.5000 0.5000
0.0000 0.5000 0.0000
0.0000 0.0000 0.5000
0.5000 0.0000 0.0000
0.0000 0.0000 0.0000
```


Relative stability in meV/atom, measured from the most stable structure: i 0; ii 73


--- i ---
UVFe2 | GGA-PBE | relaxed

Summary:
The magnetic moment is 1.243 μB/f.u. The space-group type is P4/mmm. The calculation puts the volume at 56.2 Å³/f.u.

POSCAR file:
```
UVFe2
1.0
3.4395 0.0000 0.0000
0.0000 4.0424 0.0000
0.0000 0.0000 4.0424
U Fe V
1 2 1
Direct
0.5000 0.0000 0.0000
0.0000 0.0000 0.5000
0.0000 0.5000 0.0000
0.5000 0.5000 0.5000
```


--- ii ---
UVFe2 | GGA-PBE | relaxed

Summary:
The magnetic moment is 0.000 μB/f.u. The space-group type is P4/mmm. The calculation puts the volume at 54.8 Å³/f.u.

POSCAR file:
```
UVFe2
1.0
2.8449 0.0000 0.0000
0.0000 2.8449 0.0000
0.0000 0.0000 6.7750
U Fe V
1 2 1
Direct
0.5000 0.5000 0.5000
0.0000 0.0000 0.7937
0.0000 0.0000 0.2063
0.5000 0.5000 0.0000
```


--- iii ---
UVFe2 | GGA-PBE | relaxed

Summary:
The magnetic moment is 1.610 μB/f.u. The space-group type is R-3m. The calculation puts the volume at 56.8 Å³/f.u.

POSCAR file:
```
UVFe2
1.0
2.7845 0.0000 0.0000
1.3922 2.4114 0.0000
1.3922 0.8038 8.4602
U Fe V
1 2 1
Direct
0.5000 0.5000 0.5000
0.7385 0.7385 0.7846
0.2615 0.2615 0.2154
0.0000 0.0000 0.0000
```


Relative stability in meV/atom, measured from the most stable structure: i 168; ii 0; iii 324


--- i ---
UFe2W | GGA-PBE | relaxed

Summary:
The magnetic moment is 0.000 μB/f.u. The space-group type is P4/mmm. The calculation puts the volume at 57.9 Å³/f.u.

POSCAR file:
```
UFe2W
1.0
-2.5197 1.1315 -0.6286
-0.7761 -0.2198 2.7154
2.6365 6.5858 1.2866
U Fe W
1 2 1
Direct
0.5000 0.5000 0.5000
0.0000 0.0000 0.7701
0.0000 0.0000 0.2299
0.5000 0.5000 0.0000
```


--- ii ---
UFe2W | GGA-PBE | relaxed

Summary:
The magnetic moment is 2.228 μB/f.u. The space-group type is R-3m. The calculation puts the volume at 60.5 Å³/f.u.

POSCAR file:
```
UFe2W
1.0
-0.6784 0.7789 2.6156
-0.6318 -1.9475 1.9279
8.0662 -0.8340 3.8522
U Fe W
1 2 1
Direct
0.0000 0.0000 0.0000
0.7572 0.7572 0.7285
0.2428 0.2428 0.2715
0.5000 0.5000 0.5000
```


Relative stability in meV/atom, measured from the most stable structure: i 0; ii 292


--- i ---
YUFe2 | GGA-PBE | relaxed

Summary:
The magnetic moment is 0.000 μB/f.u. The space-group type is Pnma. The calculation puts the volume at 74.0 Å³/f.u.

POSCAR file:
```
YUFe2
1.0
4.8452 0.0000 0.0000
0.0000 6.4572 0.0000
0.0000 0.0000 9.4668
Y U Fe
4 4 8
Direct
0.7500 0.6434 0.3550
0.7500 0.1434 0.1450
0.2500 0.3566 0.6450
0.2500 0.8566 0.8550
0.2500 0.9791 0.3687
0.7500 0.0209 0.6313
0.2500 0.4791 0.1313
0.7500 0.5209 0.8687
0.7500 0.7253 0.0404
0.2500 0.2747 0.9596
0.7500 0.2253 0.4596
0.2500 0.7747 0.5404
0.7500 0.1181 0.8459
0.2500 0.3819 0.3459
0.7500 0.6181 0.6541
0.2500 0.8819 0.1541
```


--- ii ---
YUFe2 | GGA-PBE | relaxed

Summary:
The magnetic moment is 0.450 μB/f.u. The space-group type is P4/mmm. The calculation puts the volume at 71.9 Å³/f.u.

POSCAR file:
```
YUFe2
1.0
3.2443 0.0000 0.0000
0.0000 3.2443 0.0000
0.0000 0.0000 6.8330
Y U Fe
1 1 2
Direct
0.5000 0.5000 0.5000
0.5000 0.5000 0.0000
0.0000 0.0000 0.8078
0.0000 0.0000 0.1922
```


--- iii ---
YUFe2 | GGA-PBE | relaxed

Summary:
The magnetic moment is 0.677 μB/f.u. The space-group type is R-3m. The calculation puts the volume at 74.6 Å³/f.u.

POSCAR file:
```
YUFe2
1.0
-0.5234 -2.2182 -2.5076
2.4464 -2.1747 -0.8764
-2.0066 -6.4389 3.8251
Y U Fe
1 1 2
Direct
0.5000 0.5000 0.5000
0.0000 0.0000 0.0000
0.7365 0.7365 0.7906
0.2635 0.2635 0.2094
```


Relative stability in meV/atom, measured from the most stable structure: i 0; ii 126; iii 321


--- i ---
YUFe | GGA-PBE | relaxed

Summary:
The magnetic moment is 1.444 μB/f.u. The space-group type is Fmmm. The calculation puts the volume at 68.5 Å³/f.u.

POSCAR file:
```
YUFe
1.0
-4.2233 -0.4072 -4.5828
5.2530 -5.5860 -0.0891
-3.6620 -3.5025 3.6859
U Fe Y
4 4 4
Direct
0.6002 0.2004 0.5003
0.8998 0.7996 0.0003
0.3998 0.7996 0.4997
0.1002 0.2004 0.9997
0.2500 0.0000 0.2500
0.2500 0.0000 0.7500
0.7500 0.0000 0.7500
0.7500 0.0000 0.2500
0.8477 0.6955 0.5004
0.6523 0.3045 0.0004
0.1523 0.3045 0.4996
0.3477 0.6955 0.9996
```


--- ii ---
YUFe | GGA-PBE | relaxed

Summary:
The magnetic moment is 0.034 μB/f.u. The space-group type is P3m1. The calculation puts the volume at 64.8 Å³/f.u.

POSCAR file:
```
YUFe
1.0
-0.7710 -3.0429 -1.5098
0.4514 0.1676 3.4499
-6.0156 1.1617 0.7306
Y U Fe
1 1 1
Direct
0.0000 0.0000 0.9657
0.6667 0.3333 0.4122
0.3333 0.6667 0.6221
```


Relative stability in meV/atom, measured from the most stable structure: i 168; ii 0